No. 1
## LiTmPd (PBE)

Data for crystalline LiTmPd at its relaxed geometry.

Properties
- total DFT energy (no corrections) (eV for the cell shown) = -12.89

a = 4.553 Å, b = 4.553 Å, c = 4.553 Å
α = 60.00°, β = 60.00°, γ = 60.00°
Element x y z (fractional)
Li1 0.250 0.250 0.250
Pd1 0.000 0.000 0.000
Tm1 0.750 0.750 0.750

No. 2
## BaReAu (PBE)

Data for crystalline BaReAu at its relaxed geometry.

Properties
- total DFT energy (no corrections) (eV for the cell shown) = -13.87

a = 4.906 Å, b = 4.906 Å, c = 4.906 Å
α = 60.00°, β = 60.00°, γ = 60.00°
Element x y z (fractional)
Au1 0.250 0.250 0.250
Ba1 0.750 0.750 0.750
Re1 0.000 0.000 0.000

No. 3
## NdYSn2Pt4 (PBE)

Data for crystalline NdYSn2Pt4 at its relaxed geometry.

Properties
- total DFT energy (no corrections) (eV for the cell shown) = -51.24

a = 4.597 Å, b = 4.597 Å, c = 9.202 Å
α = 90.00°, β = 90.00°, γ = 120.00°
Element x y z (fractional)
Nd1 0.000 0.000 0.000
Pt1 0.667 0.333 0.167
Pt2 0.000 0.000 0.342
Pt3 0.000 0.000 0.658
Pt4 0.667 0.333 0.833
Sn1 0.333 0.667 0.256
Sn2 0.333 0.667 0.744
Y1 0.667 0.333 0.500

No. 4
## Ta4BiAsN2 (PBE)

Data for crystalline Ta4BiAsN2 at its relaxed geometry.

Properties
- total DFT energy (no corrections) (eV for the cell shown) = -75.59

a = 3.362 Å, b = 3.362 Å, c = 12.617 Å
α = 90.00°, β = 90.00°, γ = 120.00°
Element x y z (fractional)
As1 0.000 0.000 0.000
Bi1 0.667 0.333 0.500
N1 0.333 0.667 0.236
N2 0.333 0.667 0.764
Ta1 0.667 0.333 0.146
Ta2 0.000 0.000 0.312
Ta3 0.000 0.000 0.688
Ta4 0.667 0.333 0.854

No. 5
## Be2Nb4PdSe12 (PBE)

Data for crystalline Be2Nb4PdSe12 at its relaxed geometry.

Properties
- total DFT energy (no corrections) (eV for the cell shown) = -106.48

a = 7.102 Å, b = 7.102 Å, c = 19.265 Å
α = 109.82°, β = 109.82°, γ = 28.40°
Element x y z (fractional)
Be1 0.056 0.056 0.283
Be2 0.944 0.944 0.717
Nb1 0.512 0.512 0.149
Nb2 0.684 0.684 0.429
Nb3 0.316 0.316 0.571
Nb4 0.488 0.488 0.851
Pd1 0.000 0.000 0.000
Se1 0.879 0.879 0.068
Se2 0.138 0.138 0.123
Se3 0.415 0.415 0.234
Se4 0.673 0.673 0.282
Se5 0.032 0.032 0.391
Se6 0.331 0.331 0.442
Se7 0.669 0.669 0.558
Se8 0.968 0.968 0.609
Se9 0.327 0.327 0.718
Se10 0.585 0.585 0.766
Se11 0.862 0.862 0.877
Se12 0.121 0.121 0.932

No. 6
## SmBPt (PBE)

Data for crystalline SmBPt at its relaxed geometry.

Properties
- total DFT energy (no corrections) (eV for the cell shown) = -15.64

a = 4.544 Å, b = 4.544 Å, c = 4.544 Å
α = 60.00°, β = 60.00°, γ = 60.00°
Element x y z (fractional)
B1 0.250 0.250 0.250
Pt1 0.750 0.750 0.750
Sm1 0.000 0.000 0.000

No. 7
## LuCo2Cu (PBE)

Data for crystalline LuCo2Cu at its relaxed geometry.

Properties
- ΔH_f (0 K) (eV/atom) = 0.06

a = 4.333 Å, b = 4.333 Å, c = 4.333 Å
α = 60.00°, β = 60.00°, γ = 60.00°
Element x y z (fractional)
Co1 0.000 0.000 0.000
Co2 0.750 0.750 0.750
Cu1 0.250 0.250 0.250
Lu1 0.500 0.500 0.500

No. 8
## TaFeBPd (PBE)

Data for crystalline TaFeBPd at its relaxed geometry.

Properties
- total DFT energy (no corrections) (eV for the cell shown) = -30.74

a = 4.212 Å, b = 4.212 Å, c = 4.212 Å
α = 60.00°, β = 60.00°, γ = 60.00°
Element x y z (fractional)
B1 0.000 0.000 0.000
Fe1 0.750 0.750 0.750
Pd1 0.500 0.500 0.500
Ta1 0.250 0.250 0.250

What did the fourth record say?
## Ta4BiAsN2 (PBE)

Data for crystalline Ta4BiAsN2 at its relaxed geometry.

Properties
- total DFT energy (no corrections) (eV for the cell shown) = -75.59

a = 3.362 Å, b = 3.362 Å, c = 12.617 Å
α = 90.00°, β = 90.00°, γ = 120.00°
Element x y z (fractional)
As1 0.000 0.000 0.000
Bi1 0.667 0.333 0.500
N1 0.333 0.667 0.236
N2 0.333 0.667 0.764
Ta1 0.667 0.333 0.146
Ta2 0.000 0.000 0.312
Ta3 0.000 0.000 0.688
Ta4 0.667 0.333 0.854